Entry 1:
Density functional theory data (PBE) for Ce3Bi3H2 after structural relaxation.

```
data_Ce3Bi3H2
_chemical_formula_sum 'Ce6 Bi6 H4'
_symmetry_space_group_name_H-M 'C 1 2/m 1'
_symmetry_Int_Tables_number 12
_symmetry_space_group_name_Hall '-C 2y'
_cell_length_a 19.062
_cell_length_b 4.137
_cell_length_c 5.126
_cell_angle_alpha 90.00
_cell_angle_beta 104.99
_cell_angle_gamma 90.00
loop_
_atom_site_label
_atom_site_type_symbol
_atom_site_fract_x
_atom_site_fract_y
_atom_site_fract_z
Ce1 Ce 0.000 0.000 0.000
Ce2 Ce 0.178 0.000 0.761
Bi1 Bi 0.000 0.500 0.500
Bi2 Bi 0.144 0.500 0.234
H1 H 0.233 0.500 0.853
```

Raw total energy: -5.120 eV/atom
Spin magnetization: 5.01 Bohr magnetons per cell

---

Entry 2:
Density functional theory data (PBE) for K2Na4Ga after structural relaxation.

```
data_K2Na4Ga
_chemical_formula_sum 'K4 Na8 Ga2'
_symmetry_space_group_name_H-M 'I 4/m m m'
_symmetry_Int_Tables_number 139
_symmetry_space_group_name_Hall '-I 4 2'
_cell_length_a 5.828
_cell_length_b 5.828
_cell_length_c 19.280
_cell_angle_alpha 90.00
_cell_angle_beta 90.00
_cell_angle_gamma 90.00
loop_
_atom_site_label
_atom_site_type_symbol
_atom_site_fract_x
_atom_site_fract_y
_atom_site_fract_z
K1 K 0.000 0.000 0.140
Na1 Na 0.000 0.000 0.346
Na2 Na 0.000 0.500 0.000
Ga1 Ga 0.000 0.000 0.500
```

Formation energy: 0.082 eV per atom
Spin magnetization: 0.00 Bohr magnetons per cell

---

Entry 3:
Density functional theory data (PBE) for Na2AcBeO4 after structural relaxation.

```
data_Na2AcBeO4
_chemical_formula_sum 'Na4 Ac2 Be2 O8'
_symmetry_space_group_name_H-M 'I 2 2 2'
_symmetry_Int_Tables_number 23
_symmetry_space_group_name_Hall 'I 2 2'
_cell_length_a 5.694
_cell_length_b 5.804
_cell_length_c 6.257
_cell_angle_alpha 90.00
_cell_angle_beta 90.00
_cell_angle_gamma 90.00
loop_
_atom_site_label
_atom_site_type_symbol
_atom_site_fract_x
_atom_site_fract_y
_atom_site_fract_z
Na1 Na 0.000 0.000 0.243
Ac1 Ac 0.000 0.500 0.000
Be1 Be 0.000 0.500 0.500
O1 O 0.171 0.322 0.642
```

Formation energy from raw total energies: -16.13 eV/f.u.
Spin magnetization: 2.00 Bohr magnetons per cell

---

Entry 4:
Density functional theory data (PBE) for LiTcNi after structural relaxation.

```
data_LiTcNi
_chemical_formula_sum 'Li2 Tc2 Ni2'
_symmetry_space_group_name_H-M 'P 63/m m c'
_symmetry_Int_Tables_number 194
_symmetry_space_group_name_Hall '-P 6c 2c'
_cell_length_a 4.5598
_cell_length_b 4.5598
_cell_length_c 8.8842
_cell_angle_alpha 90.00
_cell_angle_beta 90.00
_cell_angle_gamma 120.00
loop_
_atom_site_label
_atom_site_type_symbol
_atom_site_fract_x
_atom_site_fract_y
_atom_site_fract_z
Li1 Li 0.3333 0.6667 0.2500
Tc1 Tc 0.0000 0.0000 0.2500
Ni1 Ni 0.0000 0.0000 0.0000
```

Formation energy: 2.047 eV per atom
Spin magnetization: 6.38 Bohr magnetons per cell

---

Entry 5:
Density functional theory data (PBE) for CrFe2Au after structural relaxation.

```
data_CrFe2Au
_chemical_formula_sum 'Cr3 Fe6 Au3'
_symmetry_space_group_name_H-M 'R 3 m'
_symmetry_Int_Tables_number 160
_symmetry_space_group_name_Hall 'R 3 -2"'
_cell_length_a 2.6970
_cell_length_b 2.6970
_cell_length_c 25.7380
_cell_angle_alpha 90.00
_cell_angle_beta 90.00
_cell_angle_gamma 120.00
loop_
_atom_site_label
_atom_site_type_symbol
_atom_site_fract_x
_atom_site_fract_y
_atom_site_fract_z
Cr1 Cr 0.0000 0.0000 0.0000
Fe1 Fe 0.0000 0.0000 0.4836
Fe2 Fe 0.0000 0.0000 0.7391
Au1 Au 0.0000 0.0000 0.2407
```

Formation energy: 0.325 eV per atom
Spin magnetization: 9.71 Bohr magnetons per cell

---

Entry 6:
Density functional theory data (PBE) for SmDy4Al3 after structural relaxation.

```
data_SmDy4Al3
_chemical_formula_sum 'Sm1 Dy4 Al3'
_symmetry_space_group_name_H-M 'P 4/m m m'
_symmetry_Int_Tables_number 123
_symmetry_space_group_name_Hall '-P 4 2'
_cell_length_a 4.805
_cell_length_b 4.805
_cell_length_c 8.853
_cell_angle_alpha 90.00
_cell_angle_beta 90.00
_cell_angle_gamma 90.00
loop_
_atom_site_label
_atom_site_type_symbol
_atom_site_fract_x
_atom_site_fract_y
_atom_site_fract_z
Sm1 Sm 0.000 0.000 0.000
Dy1 Dy 0.000 0.500 0.276
Al1 Al 0.000 0.000 0.500
Al2 Al 0.500 0.500 0.000
Al3 Al 0.500 0.500 0.500
```

Formation energy: -0.279 eV per atom
Spin magnetization: 0.00 Bohr magnetons per cell

---

Entry 7:
Density functional theory data (PBE) for TaTi2InH after structural relaxation.

```
data_TaTi2InH
_chemical_formula_sum 'Ta1 Ti2 In1 H1'
_symmetry_space_group_name_H-M 'P 4/m m m'
_symmetry_Int_Tables_number 123
_symmetry_space_group_name_Hall '-P 4 2'
_cell_length_a 4.347
_cell_length_b 4.347
_cell_length_c 3.910
_cell_angle_alpha 90.00
_cell_angle_beta 90.00
_cell_angle_gamma 90.00
loop_
_atom_site_label
_atom_site_type_symbol
_atom_site_fract_x
_atom_site_fract_y
_atom_site_fract_z
Ta1 Ta 0.000 0.000 0.000
Ti1 Ti 0.000 0.500 0.500
In1 In 0.500 0.500 0.000
H1 H 0.000 0.000 0.500
```

Raw total energy: -6.929 eV/atom
Spin magnetization: 0.00 Bohr magnetons per cell

---

Entry 8:
Density functional theory data (PBE) for PmPuGaCu after structural relaxation.

```
data_PmPuGaCu
_chemical_formula_sum 'Pm4 Pu4 Ga4 Cu4'
_symmetry_space_group_name_H-M 'F -4 3 m'
_symmetry_Int_Tables_number 216
_symmetry_space_group_name_Hall 'F -4 2 3'
_cell_length_a 7.167
_cell_length_b 7.167
_cell_length_c 7.167
_cell_angle_alpha 90.00
_cell_angle_beta 90.00
_cell_angle_gamma 90.00
loop_
_atom_site_label
_atom_site_type_symbol
_atom_site_fract_x
_atom_site_fract_y
_atom_site_fract_z
Pm1 Pm 0.000 0.000 0.000
Pu1 Pu 0.000 0.000 0.500
Ga1 Ga 0.250 0.250 0.250
Cu1 Cu 0.250 0.250 0.750
```

Formation energy: -0.178 eV per atom
Spin magnetization: 23.81 Bohr magnetons per cell

---

Entry 9:
Density functional theory data (PBE) for NiOs2I after structural relaxation.

```
data_NiOs2I
_chemical_formula_sum 'Ni4 Os8 I4'
_symmetry_space_group_name_H-M 'I -4 2 d'
_symmetry_Int_Tables_number 122
_symmetry_space_group_name_Hall 'I -4 2bw'
_cell_length_a 3.860
_cell_length_b 3.860
_cell_length_c 18.887
_cell_angle_alpha 90.00
_cell_angle_beta 90.00
_cell_angle_gamma 90.00
loop_
_atom_site_label
_atom_site_type_symbol
_atom_site_fract_x
_atom_site_fract_y
_atom_site_fract_z
Ni1 Ni 0.000 0.000 0.000
Os1 Os 0.186 0.250 0.125
I1 I 0.000 0.000 0.500
```

Formation energy from raw total energies: 4.63 eV/f.u.
Spin magnetization: 0.00 Bohr magnetons per cell

---

Entry 10:
Density functional theory data (PBE) for Re3Te after structural relaxation.

```
data_Re3Te
_chemical_formula_sum 'Re6 Te2'
_symmetry_space_group_name_H-M 'C 1 2/m 1'
_symmetry_Int_Tables_number 12
_symmetry_space_group_name_Hall '-C 2y'
_cell_length_a 9.547
_cell_length_b 3.016
_cell_length_c 4.693
_cell_angle_alpha 90.00
_cell_angle_beta 95.27
_cell_angle_gamma 90.00
loop_
_atom_site_label
_atom_site_type_symbol
_atom_site_fract_x
_atom_site_fract_y
_atom_site_fract_z
Re1 Re 0.000 0.000 0.000
Re2 Re 0.228 0.500 0.218
Te1 Te 0.000 0.500 0.500
```

Formation energy from raw total energies: 2.61 eV/f.u.
Spin magnetization: 0.00 Bohr magnetons per cell

---

Entry 11:
Density functional theory data (PBE) for BaCd2Au6 after structural relaxation.

```
data_BaCd2Au6
_chemical_formula_sum 'Ba2 Cd4 Au12'
_symmetry_space_group_name_H-M 'I m m m'
_symmetry_Int_Tables_number 71
_symmetry_space_group_name_Hall '-I 2 2'
_cell_length_a 4.205
_cell_length_b 7.875
_cell_length_c 13.186
_cell_angle_alpha 90.00
_cell_angle_beta 90.00
_cell_angle_gamma 90.00
loop_
_atom_site_label
_atom_site_type_symbol
_atom_site_fract_x
_atom_site_fract_y
_atom_site_fract_z
Ba1 Ba 0.000 0.000 0.000
Cd1 Cd 0.000 0.500 0.126
Au1 Au 0.000 0.173 0.500
Au2 Au 0.000 0.318 0.311
```

Formation energy: -0.268 eV per atom
Spin magnetization: 0.00 Bohr magnetons per cell

---

Entry 12:
Density functional theory data (PBE) for RbLi2Cu2P2 after structural relaxation.

```
data_RbLi2Cu2P2
_chemical_formula_sum 'Rb3 Li6 Cu6 P6'
_symmetry_space_group_name_H-M 'R -3 m'
_symmetry_Int_Tables_number 166
_symmetry_space_group_name_Hall '-R 3 2"'
_cell_length_a 3.9689
_cell_length_b 3.9689
_cell_length_c 29.0625
_cell_angle_alpha 90.00
_cell_angle_beta 90.00
_cell_angle_gamma 120.00
loop_
_atom_site_label
_atom_site_type_symbol
_atom_site_fract_x
_atom_site_fract_y
_atom_site_fract_z
Rb1 Rb 0.0000 0.0000 0.0000
Li1 Li 0.0000 0.0000 0.1367
Cu1 Cu 0.0000 0.0000 0.2375
P1 P 0.0000 0.0000 0.4282
```

Formation energy: -0.387 eV per atom
Spin magnetization: 0.00 Bohr magnetons per cell